This record from the Alexandria database describes a relaxed structure of SmBi2RuO8. The functional is PBE.

a b c (Å): 5.1594 5.1840 6.8278
angles (deg): 90.00 90.00 88.70
Closest atoms and distances in Å follow each position.
Positions (direct):
1 Sm 0.0000 0.0000 0.5000  6 O 2.34
2 Bi 0.5000 0.5000 0.7533  4 O 2.20-2.29
3 Bi 0.5000 0.5000 0.2467  4 O 2.20-2.29
4 Ru 0.0000 0.0000 0.0000  6 O 1.84-1.99
5 O 0.1777 0.8097 0.2174  1 Ru 1.99
6 O 0.7409 0.7611 0.0000  1 Ru 1.84
7 O 0.8222 0.1902 0.2174  1 Ru 1.99
8 O 0.8223 0.1903 0.7826  1 Ru 1.99
9 O 0.2591 0.2389 0.0000  1 Ru 1.84
10 O 0.1778 0.8098 0.7826  1 Ru 1.99
11 O 0.6787 0.6897 0.5000  2 Bi 2.20, 1 Sm 2.34
12 O 0.3213 0.3103 0.5000  2 Bi 2.20, 1 Sm 2.34

Summary:
Fermi-level density of states: 0.39 states/eV per atom
Uncorrected energy: -6.56 eV/atom
Raw formation energy: -1439 meV/atom



This record from the Alexandria database describes a relaxed structure of SmBiRuO6. The functional is PBE.

a b c (Å): 5.6406 5.6406 9.3898
angles (deg): 90.00 90.00 120.00
Closest atoms and distances in Å follow each position.
Positions (direct):
1 Sm 0.3333 0.6667 0.2500  6 O 2.31
2 Sm 0.6667 0.3333 0.7500  6 O 2.31
3 Bi 0.0000 0.0000 0.0000  6 O 2.37
4 Bi 0.0000 0.0000 0.5000  6 O 2.37
5 Ru 0.6667 0.3333 0.2500  6 O 1.96
6 Ru 0.3333 0.6667 0.7500  6 O 1.96
7 O 0.6698 0.6220 0.1327  1 Ru 1.96
8 O 0.9522 0.3302 0.1327  1 Ru 1.96
9 O 0.3302 0.9522 0.6327  1 Ru 1.96
10 O 0.0478 0.6698 0.8673  1 Ru 1.96
11 O 0.3780 0.3302 0.3673  1 Ru 1.96
12 O 0.9522 0.6220 0.3673  1 Ru 1.96
13 O 0.6220 0.9522 0.8673  1 Ru 1.96
14 O 0.6698 0.0478 0.3673  1 Ru 1.96
15 O 0.0478 0.3780 0.6327  1 Ru 1.96
16 O 0.3780 0.0478 0.1327  1 Ru 1.96
17 O 0.6220 0.6698 0.6327  1 Ru 1.96
18 O 0.3302 0.3780 0.8673  1 Ru 1.96

Summary:
Fermi-level density of states: 0.45 states/eV per atom
Uncorrected energy: -6.87 eV/atom
Raw formation energy: -1580 meV/atom



This record from the Alexandria database describes a relaxed structure of Sr2BiRuO8. The functional is PBE.

a b c (Å): 5.3419 5.3260 6.7242
angles (deg): 89.72 89.91 91.61
Closest atoms and distances in Å follow each position.
Positions (direct):
1 Sr 0.4941 0.4938 0.7558  6 O 2.39-2.53
2 Sr 0.5059 0.5062 0.2442  6 O 2.39-2.53
3 Bi 0.0000 0.0000 0.5000  6 O 2.06-2.29
4 Ru 0.0000 0.0000 0.0000  6 O 1.82-1.97
5 O 0.1646 0.8244 0.2204  1 Ru 1.97
6 O 0.7552 0.7551 0.9927  1 Ru 1.82
7 O 0.8250 0.1656 0.2194  1 Ru 1.97
8 O 0.8354 0.1756 0.7796  1 Ru 1.97
9 O 0.2448 0.2449 0.0073  1 Ru 1.82
10 O 0.1750 0.8344 0.7806  1 Ru 1.97
11 O 0.7229 0.7234 0.5053  1 Bi 2.06
12 O 0.2771 0.2766 0.4947  1 Bi 2.06

Summary:
Fermi-level density of states: 0.41 states/eV per atom
Uncorrected energy: -6.08 eV/atom
Raw formation energy: -1395 meV/atom



This record from the Alexandria database describes a relaxed structure of SrBiRuO6. The functional is PBE.

a b c (Å): 5.5586 5.5586 10.5097
angles (deg): 90.00 90.00 120.00
Closest atoms and distances in Å follow each position.
Positions (direct):
1 Sr 0.0000 0.0000 0.0000  6 O 2.55
2 Sr 0.0000 0.0000 0.5000  6 O 2.55
3 Bi 0.3333 0.6667 0.2500  6 O 2.23
4 Bi 0.6667 0.3333 0.7500  6 O 2.23
5 Ru 0.6667 0.3333 0.2500  6 O 1.94
6 Ru 0.3333 0.6667 0.7500  6 O 1.94
7 O 0.6530 0.6142 0.1454  1 Ru 1.94
8 O 0.9612 0.3470 0.1454  1 Ru 1.94
9 O 0.3470 0.9612 0.6454  1 Ru 1.94
10 O 0.0388 0.6530 0.8546  1 Ru 1.94
11 O 0.3858 0.3470 0.3546  1 Ru 1.94
12 O 0.9612 0.6142 0.3546  1 Ru 1.94
13 O 0.6142 0.9612 0.8546  1 Ru 1.94
14 O 0.6530 0.0388 0.3546  1 Ru 1.94
15 O 0.0388 0.3858 0.6454  1 Ru 1.94
16 O 0.3858 0.0388 0.1454  1 Ru 1.94
17 O 0.6142 0.6530 0.6454  1 Ru 1.94
18 O 0.3470 0.3858 0.8546  1 Ru 1.94

Summary:
Fermi-level density of states: 0.46 states/eV per atom
Uncorrected energy: -6.36 eV/atom
Raw formation energy: -1404 meV/atom



This record from the Alexandria database describes a relaxed structure of TbBiRuO6. The functional is PBE.

a b c (Å): 5.5631 5.5631 9.4787
angles (deg): 90.00 90.00 120.00
Closest atoms and distances in Å follow each position.
Positions (direct):
1 Tb 0.3333 0.6667 0.2500  6 O 2.26
2 Tb 0.6667 0.3333 0.7500  6 O 2.26
3 Bi 0.0000 0.0000 0.0000  6 O 2.36
4 Bi 0.0000 0.0000 0.5000  6 O 2.36
5 Ru 0.6667 0.3333 0.2500  6 O 1.96
6 Ru 0.3333 0.6667 0.7500  6 O 1.96
7 O 0.6651 0.6236 0.1338  1 Ru 1.96
8 O 0.9585 0.3349 0.1338  1 Ru 1.96
9 O 0.3349 0.9585 0.6338  1 Ru 1.96
10 O 0.0415 0.6651 0.8662  1 Ru 1.96
11 O 0.3764 0.3349 0.3662  1 Ru 1.96
12 O 0.9585 0.6236 0.3662  1 Ru 1.96
13 O 0.6236 0.9585 0.8662  1 Ru 1.96
14 O 0.6651 0.0415 0.3662  1 Ru 1.96
15 O 0.0415 0.3764 0.6338  1 Ru 1.96
16 O 0.3764 0.0415 0.1338  1 Ru 1.96
17 O 0.6236 0.6651 0.6338  1 Ru 1.96
18 O 0.3349 0.3764 0.8662  1 Ru 1.96

Summary:
Fermi-level density of states: 0.44 states/eV per atom
Uncorrected energy: -6.90 eV/atom
Raw formation energy: -1623 meV/atom



This record from the Alexandria database describes a relaxed structure of Tb2BiRuO8. The functional is PBE.

a b c (Å): 5.0516 5.0442 6.7400
angles (deg): 90.00 90.00 91.31
Closest atoms and distances in Å follow each position.
Positions (direct):
1 Tb 0.5000 0.5000 0.7543  6 O 2.20-2.32
2 Tb 0.5000 0.5000 0.2457  6 O 2.20-2.32
3 Bi 0.0000 0.0000 0.5000  6 O 2.15-2.27
4 Ru 0.0000 0.0000 0.0000  6 O 1.90-1.99
5 O 0.1799 0.8186 0.2238  1 Ru 1.99
6 O 0.7300 0.7314 0.0000  1 Ru 1.90
7 O 0.8201 0.1814 0.2238  1 Ru 1.99
8 O 0.8201 0.1814 0.7762  1 Ru 1.99
9 O 0.2700 0.2686 0.0000  1 Ru 1.90
10 O 0.1799 0.8186 0.7762  1 Ru 1.99
11 O 0.6943 0.6958 0.5000  1 Bi 2.15, 2 Tb 2.20
12 O 0.3057 0.3042 0.5000  1 Bi 2.15, 2 Tb 2.20

Summary:
Fermi-level density of states: 0.39 states/eV per atom
Uncorrected energy: -7.14 eV/atom
Raw formation energy: -1962 meV/atom



This record from the Alexandria database describes a relaxed structure of TbBi2RuO8. The functional is PBE.

a b c (Å): 5.1057 5.1443 6.7759
angles (deg): 90.00 90.00 89.11
Closest atoms and distances in Å follow each position.
Positions (direct):
1 Tb 0.0000 0.0000 0.5000  6 O 2.28-2.30
2 Bi 0.5000 0.5000 0.7532  4 O 2.20-2.29
3 Bi 0.5000 0.5000 0.2468  4 O 2.20-2.29
4 Ru 0.0000 0.0000 0.0000  6 O 1.85-2.00
5 O 0.1675 0.8018 0.2212  1 Ru 2.00
6 O 0.7234 0.7722 0.0000  1 Ru 1.85
7 O 0.8325 0.1982 0.2212  1 Ru 2.00
8 O 0.8325 0.1982 0.7788  1 Ru 2.00
9 O 0.2766 0.2278 0.0000  1 Ru 1.85
10 O 0.1675 0.8018 0.7788  1 Ru 2.00
11 O 0.6751 0.6999 0.5000  2 Bi 2.20, 1 Tb 2.28
12 O 0.3249 0.3001 0.5000  2 Bi 2.20, 1 Tb 2.28

Summary:
Fermi-level density of states: 0.40 states/eV per atom
Uncorrected energy: -6.57 eV/atom
Raw formation energy: -1460 meV/atom



This record from the Alexandria database describes a relaxed structure of TiBiRuO6. The functional is PBE.

a b c (Å): 4.8578 4.8578 9.6161
angles (deg): 90.00 90.00 90.00
Closest atoms and distances in Å follow each position.
Positions (direct):
1 Ti 0.5000 0.5000 0.8306  6 O 1.98-2.02
2 Ti 0.0000 0.0000 0.3306  6 O 1.98-2.02
3 Bi 0.5000 0.5000 0.5009  6 O 2.27-2.31
4 Bi 0.0000 0.0000 0.0009  6 O 2.27-2.31
5 Ru 0.5000 0.5000 0.1682  6 O 1.98-2.01
6 Ru 0.0000 0.0000 0.6682  6 O 1.98-2.01
7 O 0.1701 0.8299 0.4997  1 Ru 2.00, 1 Ti 2.00
8 O 0.8299 0.1701 0.4997  1 Ru 2.00, 1 Ti 2.00
9 O 0.3299 0.3299 0.9997  1 Ru 2.00, 1 Ti 2.00
10 O 0.6701 0.6701 0.9997  1 Ru 2.00, 1 Ti 2.00
11 O 0.2096 0.7904 0.1893  1 Ti 1.98, 1 Ru 2.01
12 O 0.7904 0.2096 0.1893  1 Ti 1.98, 1 Ru 2.01
13 O 0.2904 0.2904 0.6893  1 Ti 1.98, 1 Ru 2.01
14 O 0.7096 0.7096 0.6893  1 Ti 1.98, 1 Ru 2.01
15 O 0.7933 0.2067 0.8111  1 Ru 1.98, 1 Ti 2.02
16 O 0.2067 0.7933 0.8111  1 Ru 1.98, 1 Ti 2.02
17 O 0.7067 0.7067 0.3111  1 Ru 1.98, 1 Ti 2.02
18 O 0.2933 0.2933 0.3111  1 Ru 1.98, 1 Ti 2.02

Summary:
Fermi-level density of states: 0.33 states/eV per atom
Uncorrected energy: -7.25 eV/atom
Raw formation energy: -1602 meV/atom



This record from the Alexandria database describes a relaxed structure of TlBiRuO6. The functional is PBE.

a b c (Å): 5.6220 5.6220 9.2062
angles (deg): 90.00 90.00 120.00
Closest atoms and distances in Å follow each position.
Positions (direct):
1 Tl 0.3333 0.6667 0.2500  6 O 2.29
2 Tl 0.6667 0.3333 0.7500  6 O 2.29
3 Bi 0.0000 0.0000 0.0000  6 O 2.36
4 Bi 0.0000 0.0000 0.5000  6 O 2.36
5 Ru 0.6667 0.3333 0.2500  6 O 1.94
6 Ru 0.3333 0.6667 0.7500  6 O 1.94
7 O 0.6643 0.6170 0.1310  1 Ru 1.94
8 O 0.9527 0.3357 0.1310  1 Ru 1.94
9 O 0.3357 0.9527 0.6310  1 Ru 1.94
10 O 0.0473 0.6643 0.8690  1 Ru 1.94
11 O 0.3830 0.3357 0.3690  1 Ru 1.94
12 O 0.9527 0.6170 0.3690  1 Ru 1.94
13 O 0.6170 0.9527 0.8690  1 Ru 1.94
14 O 0.6643 0.0473 0.3690  1 Ru 1.94
15 O 0.0473 0.3830 0.6310  1 Ru 1.94
16 O 0.3830 0.0473 0.1310  1 Ru 1.94
17 O 0.6170 0.6643 0.6310  1 Ru 1.94
18 O 0.3357 0.3830 0.8690  1 Ru 1.94

Summary:
Fermi-level density of states: 0.53 states/eV per atom
Uncorrected energy: -5.83 eV/atom
Raw formation energy: -804 meV/atom



This record from the Alexandria database describes a relaxed structure of Tl2BiRuO8. The functional is PBE.

a b c (Å): 5.0623 5.0496 6.6994
angles (deg): 90.00 90.00 91.81
Closest atoms and distances in Å follow each position.
Positions (direct):
1 Tl 0.5000 0.5000 0.7561  6 O 2.20-2.35
2 Tl 0.5000 0.5000 0.2439  6 O 2.20-2.35
3 Bi 0.0000 0.0000 0.5000  6 O 2.14-2.26
4 Ru 0.0000 0.0000 0.0000  6 O 1.92-1.97
5 O 0.1762 0.8219 0.2225  1 Ru 1.97
6 O 0.7269 0.7282 0.0000  1 Ru 1.92
7 O 0.8237 0.1780 0.2225  1 Ru 1.97
8 O 0.8238 0.1781 0.7775  1 Ru 1.97
9 O 0.2731 0.2718 0.0000  1 Ru 1.92
10 O 0.1763 0.8220 0.7775  1 Ru 1.97
11 O 0.6946 0.6968 0.5000  1 Bi 2.14, 2 Tl 2.20
12 O 0.3054 0.3032 0.5000  1 Bi 2.14, 2 Tl 2.20

Summary:
Fermi-level density of states: 0.36 states/eV per atom
Uncorrected energy: -5.53 eV/atom
Raw formation energy: -732 meV/atom



This record from the Alexandria database describes a relaxed structure of TlBi2RuO6. The functional is PBE.

a b c (Å): 5.8289 5.8286 6.5077
angles (deg): 63.39 63.39 60.00
Closest atoms and distances in Å follow each position.
Positions (direct):
1 Tl 0.7823 0.7824 0.6531  3 O 2.57
2 Bi 0.5325 0.5325 0.4024  3 O 2.24
3 Bi 0.9993 0.9993 0.0020  6 O 2.26-2.48
4 Ru 0.3311 0.3311 0.0066  6 O 1.99-2.01
5 O 0.5397 0.3062 0.1963  1 Ru 2.01, 1 Bi 2.24
6 O 0.3062 0.9578 0.1962  1 Ru 2.01, 1 Bi 2.24
7 O 0.9578 0.5397 0.1961  1 Ru 2.01, 1 Bi 2.24
8 O 0.3346 0.7019 0.7875  1 Ru 1.99
9 O 0.7019 0.1761 0.7875  1 Ru 1.99
10 O 0.1762 0.3346 0.7874  1 Ru 1.99

Summary:
Fermi-level density of states: 0.24 states/eV per atom
Uncorrected energy: -5.89 eV/atom
Raw formation energy: -977 meV/atom



This record from the Alexandria database describes a relaxed structure of Tl2Bi2RuO6. The functional is PBE.

a b c (Å): 5.9225 5.9225 6.7323
angles (deg): 97.02 97.02 117.39
Closest atoms and distances in Å follow each position.
Positions (direct):
1 Tl 0.8323 0.1677 0.0000  4 O 2.67-2.83
2 Tl 0.1677 0.8323 0.0000  4 O 2.67-2.83
3 Bi 0.3354 0.6646 0.5000  4 O 2.25-2.40
4 Bi 0.6646 0.3354 0.5000  4 O 2.25-2.40
5 Ru 0.0000 0.0000 0.5000  6 O 1.99-2.09
6 O 0.8108 0.8108 0.7026  1 Ru 1.99
7 O 0.0290 0.3438 0.6541  1 Ru 2.09, 1 Bi 2.25
8 O 0.1892 0.1892 0.2974  1 Ru 1.99
9 O 0.3438 0.0290 0.6541  1 Ru 2.09, 1 Bi 2.25
10 O 0.9710 0.6562 0.3459  1 Ru 2.09, 1 Bi 2.25
11 O 0.6562 0.9710 0.3459  1 Ru 2.09, 1 Bi 2.25

Summary:
Fermi-level density of states: 0.24 states/eV per atom
Uncorrected energy: -5.56 eV/atom
Raw formation energy: -877 meV/atom